(1)
# CrTe2RuI

CrTe2RuI after structural relaxation (GGA-PBEsol, the Alexandria database).

Computed properties:
Total energy   -5.027 eV/atom
Total magnetization   4.429 μB per formula unit
Energy relative to the elements, uncorrected   0.82 eV/atom

Cell: 5.0490 5.0490 5.5535 Å, 90.00 90.00 90.00°
Closest atoms and distances in Å follow each position.
Positions (direct):
Ru: 0.0000 0.0000 0.0000  4 Te 2.52, 2 I 2.78
Cr: 0.5000 0.5000 0.5000  4 I 3.57, 8 Te 3.75
Te: 0.0000 0.5000 0.0000  2 Ru 2.52
I: 0.0000 0.0000 0.5000  2 Ru 2.78
Te: 0.5000 0.0000 0.0000  2 Ru 2.52

***

(2)
# YSc2W

YSc2W after structural relaxation (GGA-PBEsol, the Alexandria database).

Computed properties:
ΔH_f (0 K)   36.1 kJ per mole of atoms
Total energy   -8.086 eV/atom
Total magnetization   0.000 μB per formula unit

Cell: 3.0116 5.2058 5.7860 Å, 95.75 90.00 106.81°
Closest atoms and distances in Å follow each position.
Positions (direct):
W: 0.5035 0.0070 0.5312  5 Sc 2.94-2.96, 2 W 3.01, 3 Y 3.11
Sc: 0.9948 0.9895 0.9690  5 Sc 2.94-3.13, 2 W 2.96, 1 Y 3.05
Y: 0.7600 0.5199 0.2686  2 Y 3.01, 5 Sc 3.05-3.36, 3 W 3.11
Sc: 0.2418 0.4836 0.7312  5 Sc 2.94-3.13, 3 W 2.94-2.96, 2 Y 3.09

***

(3)
# Nb6TlS8

Nb6TlS8 after structural relaxation (GGA-PBEsol, the Alexandria database).

Computed properties:
Total energy   -7.970 eV/atom
Total magnetization   0.000 μB per formula unit
Energy relative to the elements, uncorrected   -1.13 eV/atom

Cell: 3.3566 9.5840 9.5840 Å, 120.00 90.00 90.00°
Closest atoms and distances in Å follow each position.
Positions (direct):
Nb: 0.5000 0.7077 0.1551  6 S 2.46-2.63
S: 0.5000 0.9909 0.3826  4 Nb 2.46-2.63
S: 0.0000 0.0445 0.7245  4 Nb 2.46-2.61
Nb: 0.5000 0.4474 0.2923  6 S 2.46-2.63
Nb: 0.0000 0.9623 0.1817  6 S 2.46-2.61
Nb: 0.5000 0.8449 0.5526  6 S 2.46-2.63
S: 0.5000 0.0000 0.0000  6 Nb 2.57
S: 0.5000 0.3917 0.0091  4 Nb 2.46-2.63
S: 0.5000 0.6174 0.6083  4 Nb 2.46-2.63
S: 0.0000 0.2755 0.3201  4 Nb 2.46-2.61
Tl: 0.0000 0.3333 0.6667  3 S 3.08, 2 Tl 3.36
S: 0.0000 0.6799 0.9555  4 Nb 2.46-2.61
S: 0.0000 0.6667 0.3333  6 Nb 2.56
Nb: 0.0000 0.8183 0.7806  6 S 2.46-2.61
Nb: 0.0000 0.2194 0.0377  6 S 2.46-2.61